PBE Pm4Cd5Sn6, optimized geometry; formation energy = -0.46 eV/atom; space group = No. 36
1.0
4.717 0.000 0.000
-2.359 10.338 0.000
0.000 0.000 16.898
Pm Sn Cd
8 12 10
Cartesian
2.359 9.652 4.459
2.359 6.763 7.476
2.359 6.956 13.499
0.000 3.575 15.925
0.000 3.381 5.050
2.359 9.858 16.835
0.000 0.480 8.386
0.000 0.686 12.908
0.000 9.016 2.177
2.359 1.321 10.627
0.000 4.831 12.994
2.359 5.628 16.476
2.359 8.145 10.315
2.359 1.439 15.499
0.000 4.710 8.027
0.000 8.899 7.050
2.359 5.507 4.545
2.359 1.243 6.036
0.000 2.192 1.866
0.000 9.094 14.486
0.000 6.252 10.465
0.000 8.958 11.676
0.000 7.186 16.624
2.359 1.380 3.227
2.359 3.184 13.124
2.359 3.151 8.175
2.359 7.180 2.126
0.000 7.154 4.674
0.000 3.157 10.575
2.359 4.085 2.015

=====

PBE Pm5Cd2Sn2, optimized geometry; formation energy = -0.44 eV/atom; space group = No. 64
1.0
-2.888 4.969 5.896
0.511 -6.163 5.444
7.403 5.345 -0.879
Pm Cd Sn
10 4 4
Cartesian
4.669 1.237 5.028
1.679 -2.803 6.969
4.869 3.533 1.373
0.000 0.000 0.000
-1.188 -0.597 5.670
0.358 2.915 5.434
3.147 4.660 7.147
0.157 0.619 9.088
1.880 -0.508 3.314
3.348 6.955 3.493
-2.333 2.024 7.206
-1.359 -2.293 8.462
-1.018 1.100 2.879
-0.044 -3.217 4.135
3.099 3.828 4.041
3.116 0.921 0.750
1.928 0.325 6.420
4.798 -1.738 3.816

=====

PBE Pm7CdSn4, optimized geometry; formation energy = -0.38 eV/atom; space group = No. 12
1.0
-3.894 -1.583 3.887
-7.322 -3.850 -4.687
0.887 -7.749 1.949
Cd Pm Sn
1 7 4
Cartesian
0.000 0.000 0.000
-1.358 -4.380 1.073
-8.971 -8.802 0.077
-5.075 -4.030 -2.510
-1.947 -0.791 1.943
-5.253 -9.152 3.659
-4.931 -8.421 0.063
-5.397 -4.760 1.087
-7.047 -6.545 -1.293
-3.281 -6.636 2.443
-6.844 -10.730 1.423
-3.485 -2.452 -0.273

=====

PBE Pm2CdSn4, optimized geometry; formation energy = -0.42 eV/atom; space group = No. 115
1.0
4.529 0.000 0.000
0.000 4.529 0.000
0.000 0.000 9.647
Pm Sn Cd
2 4 1
Cartesian
2.265 0.000 7.342
0.000 2.265 2.305
0.000 0.000 4.824
2.265 2.265 4.824
2.265 0.000 1.862
0.000 2.265 7.785
2.265 2.265 0.000

=====

Number 1: E_tot -3.6297 eV per atom, total magnetization 0.0 μB/cell. Number 2: E_tot -4.1746 eV per atom, total magnetization 0.0 μB/cell. Number 3: E_tot -4.5621 eV per atom, total magnetization 0.0 μB/cell. Number 4: E_tot -4.1943 eV per atom, total magnetization 0.0 μB/cell.